[1]
# Tm5HgTe2

An optimized crystal structure of Tm5HgTe2 (GGA-PBE, the Alexandria database).

Symmetry ... No. 63
Density of states at the Fermi level ... 19.580 states/eV/cell
Crystal system ... orthorhombic
Energy relative to the elements, uncorrected ... -492 meV/atom

Cell and atoms, written as POSCAR:
```
Tm5HgTe2
1.0
5.901 0.000 0.000
-2.950 6.287 0.000
0.000 0.000 12.886
Tm Te Hg
10 4 2
direct
0.051 0.102 0.114 Tm
0.386 0.772 0.442 Tm
0.949 0.898 0.614 Tm
0.614 0.228 0.558 Tm
0.614 0.228 0.942 Tm
0.949 0.898 0.886 Tm
0.382 0.763 0.750 Tm
0.386 0.772 0.058 Tm
0.051 0.102 0.386 Tm
0.618 0.237 0.250 Tm
0.809 0.618 0.411 Te
0.809 0.618 0.089 Te
0.191 0.382 0.911 Te
0.191 0.382 0.589 Te
0.747 0.494 0.750 Hg
0.253 0.506 0.250 Hg
```



[2]
# Zr2TaCr2

An optimized crystal structure of Zr2TaCr2 (GGA-PBE, the Alexandria database).

Symmetry ... No. 127
Energy ... -9.386 eV/atom
Density of states at the Fermi level ... 11.934 states/eV/cell
Crystal system ... tetragonal

Cell and atoms, written as POSCAR:
```
Zr2TaCr2
1.0
-2.274 -3.729 -4.604
2.458 -5.081 2.901
-3.813 -0.526 2.310
Zr Cr Ta
4 4 2
direct
0.320 0.180 0.500 Zr
0.180 0.680 0.500 Zr
0.680 0.820 0.500 Zr
0.820 0.320 0.500 Zr
0.381 0.881 0.000 Cr
0.619 0.119 0.000 Cr
0.119 0.381 0.000 Cr
0.881 0.619 0.000 Cr
0.500 0.500 0.000 Ta
0.000 0.000 0.000 Ta
```



Question: Number 2 is which compound?
Answer: Zr2TaCr2



Question: density of states at the Fermi level of number 2 (Zr2TaCr2)?
Answer: 11.934 states/eV/cell



Question: density of states at the Fermi level of number 1 (Tm5HgTe2)?
Answer: 19.580 states/eV/cell



Question: Which value of density of states at the Fermi level does entry 2 give?
Answer: 11.934 states/eV/cell